(1)
Density functional theory data (PBE) for a relaxed structure of MnPd3Pb.

The space-group type is No. 221. For the formation energy, the calculation gives 42.4 kJ per mole of atoms. Its density is 9046 kg/m3. The value obtained for the volume is 106.7 Å³ per cell. Its energy relative to the lowest polymorph listed for this composition is 604 meV per atom.

Lattice parameters (Å, degrees): 4.7434 4.7434 4.7434 90.00 90.00 90.00
Fractional coordinates of all 5 atoms:
Mn1 0.0000 0.0000 0.0000
Pd1 0.0000 0.0000 0.5000
Pd2 0.0000 0.5000 0.0000
Pd3 0.5000 0.0000 0.0000
Pb1 0.5000 0.5000 0.5000

(2)
Density functional theory data (PBE) for a relaxed structure of KYNi2.

The space-group type is No. 44. For the formation energy, the calculation gives 19.8 kJ per mole of atoms. Its density is 3614 kg/m3. The value obtained for the volume is 112.8 Å³ per cell. Its energy relative to the lowest polymorph listed for this composition is 173 meV per atom.

Lattice parameters (Å, degrees): 7.7654 7.7654 7.7654 150.77 150.38 42.10
Fractional coordinates of all 4 atoms:
K1 0.0000 0.0000 0.0000
Y1 0.7495 0.2495 0.5000
Ni1 0.2927 0.7927 0.5000
Ni2 0.3728 0.3728 0.0000

(3)
Density functional theory data (PBE) for a relaxed structure of ScBeNi4.

The space-group type is No. 216. For the formation energy, the calculation gives -25.1 kJ per mole of atoms. Its density is 6452 kg/m3. The value obtained for the volume is 74.3 Å³ per cell.

Lattice parameters (Å, degrees): 4.7191 4.7191 4.7191 60.00 60.00 60.00
Fractional coordinates of all 6 atoms:
Sc1 0.0000 0.0000 0.0000
Be1 0.7500 0.7500 0.7500
Ni1 0.3760 0.3760 0.3760
Ni2 0.3760 0.3760 0.8719
Ni3 0.3760 0.8719 0.3760
Ni4 0.8719 0.3760 0.3760

(4)
Density functional theory data (PBE) for a relaxed structure of Hg2BiH.

The space-group type is No. 225. Its density is 10901 kg/m3. The value obtained for the volume is 93.1 Å³ per cell. Its energy relative to the lowest polymorph listed for this composition is 379 meV per atom.

Lattice parameters (Å, degrees): 5.0873 5.0873 5.0873 60.00 60.00 60.00
Fractional coordinates of all 4 atoms:
Hg1 0.2500 0.2500 0.2500
Hg2 0.7500 0.7500 0.7500
Bi1 0.0000 0.0000 0.0000
H1 0.5000 0.5000 0.5000

(5)
Density functional theory data (PBE) for a relaxed structure of ScSn2Se4.

The space-group type is No. 63. Its density is 5476 kg/m3. The value obtained for the volume is 362.8 Å³ per cell. For the energy relative to the elements, uncorrected, the calculation gives -510 kJ/mol of formula units.

Lattice parameters (Å, degrees): 7.1180 7.1180 13.7548 90.00 90.00 148.63
Fractional coordinates of all 14 atoms:
Sc1 0.1196 0.8804 0.7500
Sc2 0.8804 0.1196 0.2500
Sn1 0.3679 0.6321 0.5718
Sn2 0.3679 0.6321 0.9282
Sn3 0.6321 0.3679 0.0718
Sn4 0.6321 0.3679 0.4282
Se1 0.0000 0.0000 0.0000
Se2 0.0000 0.0000 0.5000
Se3 0.2900 0.7100 0.1287
Se4 0.2900 0.7100 0.3713
Se5 0.4795 0.5205 0.7500
Se6 0.5205 0.4795 0.2500
Se7 0.7100 0.2900 0.6287
Se8 0.7100 0.2900 0.8713

(6)
Density functional theory data (PBE) for a relaxed structure of Ho5Rh2Au.

The space-group type is No. 140. For the formation energy, the calculation gives -72.0 kJ per mole of atoms. Its density is 10593 kg/m3. The value obtained for the volume is 384.8 Å³ per cell.

Lattice parameters (Å, degrees): 8.5608 8.5608 8.5608 127.31 127.31 77.75
Fractional coordinates of all 16 atoms:
Ho1 0.0000 0.0000 0.0000
Ho2 0.0239 0.5239 0.8256
Ho3 0.1983 0.0239 0.5000
Ho4 0.3017 0.8017 0.8256
Ho5 0.4761 0.3017 0.5000
Ho6 0.5000 0.5000 0.0000
Ho7 0.5239 0.6983 0.5000
Ho8 0.6983 0.1983 0.1744
Ho9 0.8017 0.9761 0.5000
Ho10 0.9761 0.4761 0.1744
Rh1 0.1378 0.3622 0.5000
Rh2 0.3622 0.8622 0.2244
Rh3 0.6378 0.1378 0.7756
Rh4 0.8622 0.6378 0.5000
Au1 0.2500 0.2500 0.0000
Au2 0.7500 0.7500 0.0000

(7)
Density functional theory data (PBE) for a relaxed structure of Hf12MnAl6.

The space-group type is No. 148. For the formation energy, the calculation gives -15.2 kJ per mole of atoms. Its density is 10471 kg/m3. The value obtained for the volume is 374.0 Å³ per cell.

Lattice parameters (Å, degrees): 7.2062 7.2062 7.2062 89.02 89.02 89.02
Fractional coordinates of all 19 atoms:
Hf1 0.0171 0.9349 0.3076
Hf2 0.0651 0.6924 0.9829
Hf3 0.1238 0.4538 0.3523
Hf4 0.3076 0.0171 0.9349
Hf5 0.3523 0.1238 0.4538
Hf6 0.4538 0.3523 0.1238
Hf7 0.5462 0.6477 0.8762
Hf8 0.6477 0.8762 0.5462
Hf9 0.6924 0.9829 0.0651
Hf10 0.8762 0.5462 0.6477
Hf11 0.9349 0.3076 0.0171
Hf12 0.9829 0.0651 0.6924
Mn1 0.5000 0.5000 0.5000
Al1 0.2419 0.3865 0.7520
Al2 0.2480 0.7581 0.6135
Al3 0.3865 0.7520 0.2419
Al4 0.6135 0.2480 0.7581
Al5 0.7520 0.2419 0.3865
Al6 0.7581 0.6135 0.2480

(8)
Density functional theory data (PBE) for a relaxed structure of Pr4NdRh.

The space-group type is No. 12. For the formation energy, the calculation gives -17.0 kJ per mole of atoms. Its density is 6837 kg/m3. The value obtained for the volume is 393.8 Å³ per cell.

Lattice parameters (Å, degrees): 9.6937 9.6937 6.1179 108.34 108.34 46.83
Fractional coordinates of all 12 atoms:
Pr1 0.1324 0.6356 0.3840
Pr2 0.2056 0.7944 0.0000
Pr3 0.3285 0.3285 0.8285
Pr4 0.3644 0.8676 0.6160
Pr5 0.6356 0.1324 0.3840
Pr6 0.6715 0.6715 0.1715
Pr7 0.7944 0.2056 0.0000
Pr8 0.8676 0.3644 0.6160
Nd1 0.1985 0.1985 0.1987
Nd2 0.8015 0.8015 0.8013
Rh1 0.5000 0.5000 0.2707
Rh2 0.5000 0.5000 0.7293

(9)
Density functional theory data (PBE) for a relaxed structure of AlHgRh2.

The space-group type is No. 25. For the formation energy, the calculation gives -16.6 kJ per mole of atoms. Its density is 11118 kg/m3. The value obtained for the volume is 64.7 Å³ per cell. Its energy relative to the lowest polymorph listed for this composition is 325 meV per atom.

Lattice parameters (Å, degrees): 2.8899 3.7986 5.8963 90.00 90.00 90.00
Fractional coordinates of all 4 atoms:
Al1 0.0000 0.0000 0.0000
Hg1 0.5000 0.5000 0.3256
Rh1 0.0000 0.0000 0.5748
Rh2 0.5000 0.5000 0.8423

(10)
Density functional theory data (PBE) for a relaxed structure of Tb2TmSe.

The space-group type is No. 123. Its density is 8569 kg/m3. The value obtained for the volume is 109.6 Å³ per cell. For the energy relative to the elements, uncorrected, the calculation gives -265 kJ/mol of formula units. Its energy relative to the lowest polymorph listed for this composition is 0 meV per atom.

Lattice parameters (Å, degrees): 3.6049 3.6049 8.4364 90.00 90.00 90.00
Fractional coordinates of all 4 atoms:
Tb1 0.0000 0.0000 0.2102
Tb2 0.0000 0.0000 0.7898
Tm1 0.5000 0.5000 0.5000
Se1 0.5000 0.5000 0.0000

(11)
Density functional theory data (PBE) for a relaxed structure of La2CdHOs.

The space-group type is No. 123. Its density is 9060 kg/m3. Its total energy is -5.24 eV/atom. The value obtained for the volume is 106.6 Å³ per cell.

Lattice parameters (Å, degrees): 5.2787 5.2787 3.8246 90.00 90.00 90.00
Fractional coordinates of all 5 atoms:
La1 0.0000 0.5000 0.0000
La2 0.5000 0.0000 0.0000
Cd1 0.0000 0.0000 0.5000
H1 0.5000 0.5000 0.0000
Os1 0.5000 0.5000 0.5000

(12)
Density functional theory data (PBE) for a relaxed structure of TbTeRh2.

The space-group type is No. 166. Its density is 10228 kg/m3. The value obtained for the volume is 79.9 Å³ per cell. For the energy relative to the elements, uncorrected, the calculation gives -239 kJ/mol of formula units. Its energy relative to the lowest polymorph listed for this composition is 0 meV per atom.

Lattice parameters (Å, degrees): 5.1861 5.1861 5.1861 51.94 51.94 51.94
Fractional coordinates of all 4 atoms:
Tb1 0.0000 0.0000 0.0000
Te1 0.5000 0.5000 0.5000
Rh1 0.2152 0.2152 0.2152
Rh2 0.7848 0.7848 0.7848